The following is a DFT calculation (PBE-GGA) of a relaxed structure of NpCrS2.

Its crystal system is trigonal. The value obtained for the raw formation energy is -0.61 eV per atom. Its theoretical density is 5.43 Mg/m³. As for the distance to the lowest polymorph of the same formula: 197.1 meV/atom. The value obtained for the total magnetization is 8.80 μB/f.u.

The space group is R-3m (No. 166, hexagonal axes) and the conventional cell measures 4.0830, 4.0830 and 22.4586 Å, with angles of 90.00, 90.00 and 120.00 degrees. The distinct sites, in fractional coordinates, are Np at (0.0000, 0.0000, 0.0000), Cr at (0.0000, 0.0000, 0.5000) and S at (0.0000, 0.0000, 0.3965).


The following is a DFT calculation (PBE-GGA) of a relaxed structure of Sr2NpCrS6.

Its crystal system is monoclinic. The value obtained for the raw formation energy is -1.41 eV per atom. Its theoretical density is 4.75 Mg/m³. The value obtained for the total magnetization is 5.00 μB/f.u.

The space group is P2_1/c (No. 14) and the conventional cell measures 6.742, 7.026 and 11.716 Å, with angles of 90.00, 124.27 and 90.00 degrees. The distinct sites, in fractional coordinates, are Sr at (0.225, 0.071, 0.246), Np at (0.500, 0.000, 0.000), Cr at (0.000, 0.000, 0.500), S at (0.146, 0.211, 0.957), S at (0.247, 0.693, 0.956) and S at (0.325, 0.011, 0.740).


The following is a DFT calculation (PBE-GGA) of a relaxed structure of NpTl3Cr2S6.

Its crystal system is monoclinic. The value obtained for the raw formation energy is -0.72 eV per atom. Its theoretical density is 7.00 Mg/m³. The value obtained for the total magnetization is 9.57 μB/f.u.

The space group is C2/m (No. 12) and the conventional cell measures 6.284, 10.897 and 8.266 Å, with angles of 90.00, 106.00 and 90.00 degrees. The distinct sites, in fractional coordinates, are Np at (0.000, 0.000, 0.000), Tl at (0.000, 0.165, 0.500), Tl at (0.000, 0.500, 0.500), Cr at (0.000, 0.333, 0.000), S at (0.200, 0.500, 0.174) and S at (0.244, 0.181, 0.175).


The following is a DFT calculation (PBE-GGA) of a relaxed structure of Np2Tl3CrS6.

Its crystal system is monoclinic. The value obtained for the raw formation energy is -0.86 eV per atom. Its theoretical density is 7.43 Mg/m³. The value obtained for the total magnetization is 11.00 μB/f.u.

The space group is C2/m (No. 12) and the conventional cell measures 6.744, 11.665 and 7.895 Å, with angles of 90.00, 106.58 and 90.00 degrees. The distinct sites, in fractional coordinates, are Np at (0.000, 0.166, 0.000), Tl at (0.000, 0.000, 0.500), Tl at (0.000, 0.330, 0.500), Cr at (0.000, 0.500, 0.000), S at (0.220, 0.342, 0.187) and S at (0.248, 0.000, 0.192).


The following is a DFT calculation (PBE-GGA) of a relaxed structure of Np2UCrS6.

Its crystal system is trigonal. The value obtained for the raw formation energy is -1.12 eV per atom. Its theoretical density is 6.99 Mg/m³. The value obtained for the total magnetization is 8.02 μB/f.u.

The space group is R3 (No. 146, hexagonal axes) and the conventional cell measures 6.6585, 6.6585 and 17.7474 Å, with angles of 90.00, 90.00 and 120.00 degrees. The distinct sites, in fractional coordinates, are Np at (0.0000, 0.0000, 0.0000), Np at (0.0000, 0.0000, 0.4963), U at (0.0000, 0.0000, 0.1950), Cr at (0.0000, 0.0000, 0.6897), S at (0.0117, 0.3878, 0.4348) and S at (0.0623, 0.6990, 0.2749).


The following is a DFT calculation (PBE-GGA) of a relaxed structure of NpU2CrS6.

Its crystal system is trigonal. The value obtained for the raw formation energy is -1.07 eV per atom. Its theoretical density is 6.72 Mg/m³. The value obtained for the total magnetization is 2.77 μB/f.u.

The space group is R3 (No. 146, hexagonal axes) and the conventional cell measures 6.7202, 6.7202 and 18.1479 Å, with angles of 90.00, 90.00 and 120.00 degrees. The distinct sites, in fractional coordinates, are Np at (0.0000, 0.0000, 0.0000), U at (0.0000, 0.0000, 0.3023), U at (0.0000, 0.0000, 0.8059), Cr at (0.0000, 0.0000, 0.4924), S at (0.0332, 0.3377, 0.5684) and S at (0.0458, 0.6778, 0.0743).


The following is a DFT calculation (PBE-GGA) of a relaxed structure of Np3CrSe6.

Its crystal system is trigonal. The value obtained for the raw formation energy is -0.96 eV per atom. Its theoretical density is 8.09 Mg/m³. The value obtained for the total magnetization is 15.00 μB/f.u.

The space group is R-3 (No. 148, hexagonal axes) and the conventional cell measures 12.3840, 12.3840 and 11.4702 Å, with angles of 90.00, 90.00 and 120.00 degrees. The distinct sites, in fractional coordinates, are Np at (0.0534, 0.4404, 0.3185), Cr at (0.0000, 0.0000, 0.0000), Cr at (0.0000, 0.0000, 0.5000), Se at (0.0340, 0.2056, 0.3916) and Se at (0.0521, 0.1978, 0.8865).


The following is a DFT calculation (PBE-GGA) of a relaxed structure of NpCrSe.

Its crystal system is trigonal. The value obtained for the raw formation energy is -0.03 eV per atom. Its theoretical density is 9.52 Mg/m³. The value obtained for the total magnetization is 0.98 μB/f.u.

The space group is R-3m (No. 166, hexagonal axes) and the conventional cell measures 4.0210, 4.0210 and 27.5100 Å, with angles of 90.00, 90.00 and 120.00 degrees. The distinct sites, in fractional coordinates, are Np at (0.0000, 0.0000, 0.1860), Cr at (0.0000, 0.0000, 0.0860) and Se at (0.0000, 0.0000, 0.3960).


The following is a DFT calculation (PBE-GGA) of a relaxed structure of NpTl2CrSe4.

Its crystal system is monoclinic. The value obtained for the raw formation energy is -0.67 eV per atom. Its theoretical density is 7.82 Mg/m³. The value obtained for the total magnetization is 7.00 μB/f.u.

The space group is P2/m (No. 10) and the conventional cell measures 6.776, 4.059 and 8.162 Å, with angles of 90.00, 106.49 and 90.00 degrees. The distinct sites, in fractional coordinates, are Np at (0.000, 0.000, 0.000), Tl at (0.000, 0.500, 0.500), Tl at (0.500, 0.000, 0.500), Cr at (0.500, 0.500, 0.000), Se at (0.251, 0.500, 0.199) and Se at (0.290, 0.000, 0.813).


The following is a DFT calculation (PBE-GGA) of a relaxed structure of Np3Tl3CrSe8.

Its crystal system is monoclinic. The value obtained for the raw formation energy is -0.85 eV per atom. Its theoretical density is 7.35 Mg/m³. The value obtained for the total magnetization is 14.00 μB/f.u.

The space group is C2/m (No. 12) and the conventional cell measures 14.105, 8.144 and 9.188 Å, with angles of 90.00, 120.79 and 90.00 degrees. The distinct sites, in fractional coordinates, are Np at (0.000, 0.000, 0.000), Np at (0.250, 0.250, 0.000), Tl at (0.000, 0.500, 0.500), Tl at (0.250, 0.250, 0.500), Cr at (0.000, 0.500, 0.000), Se at (0.014, 0.266, 0.809), Se at (0.220, 0.500, 0.191) and Se at (0.236, 0.000, 0.207).


The following is a DFT calculation (PBE-GGA) of a relaxed structure of Np2Tl3CrSe6.

Its crystal system is monoclinic. The value obtained for the raw formation energy is -0.72 eV per atom. Its theoretical density is 7.90 Mg/m³. The value obtained for the total magnetization is 11.01 μB/f.u.

The space group is C2/m (No. 12) and the conventional cell measures 7.052, 12.234 and 7.862 Å, with angles of 90.00, 90.10 and 90.00 degrees. The distinct sites, in fractional coordinates, are Np at (0.000, 0.167, 0.000), Tl at (0.000, 0.167, 0.500), Tl at (0.000, 0.500, 0.500), Cr at (0.000, 0.500, 0.000), Se at (0.157, 0.342, 0.805) and Se at (0.185, 0.000, 0.805).


The following is a DFT calculation (PBE-GGA) of a relaxed structure of NpCrSi2.

Its crystal system is trigonal. The value obtained for the raw formation energy is -0.14 eV per atom. Its theoretical density is 8.40 Mg/m³. The value obtained for the total magnetization is 1.44 μB/f.u.

The space group is R-3m (No. 166, hexagonal axes) and the conventional cell measures 4.0960, 4.0960 and 14.0929 Å, with angles of 90.00, 90.00 and 120.00 degrees. The distinct sites, in fractional coordinates, are Np at (0.0000, 0.0000, 0.0000), Cr at (0.0000, 0.0000, 0.5000) and Si at (0.0000, 0.0000, 0.2175).